Here is a relaxed CoAuBr2 crystal from Alexandria. Energies are from GGA-PBE.

The energy is -2.80 eV per atom. The density of states at the Fermi level is 9.797 states/eV/cell. As for the formation energy from raw total energies: 242.6 kJ/mol of formula units. Its distance to the lowest polymorph of the same formula is 2.36 eV/f.u.

The structure belongs to space group Cmmm (No. 65); the cell edges are 6.906, 6.913 and 3.484 Å and the angles 90.00°, 90.00° and 90.00°. The asymmetric unit holds Co at (0.000, 0.000, 0.000), Au at (0.000, 0.500, 0.000) and Br at (0.250, 0.250, 0.500).



Here is a relaxed Be2FeBr crystal from Alexandria. Energies are from GGA-PBE.

The energy is -3.80 eV per atom. The density of states at the Fermi level is 4.842 states/eV/cell. As for the formation energy from raw total energies: 228.6 kJ/mol of formula units. Its distance to the lowest polymorph of the same formula is 1.29 eV/f.u.

The structure belongs to space group R-3m (No. 166, hexagonal axes); the cell edges are 3.0044, 3.0044 and 20.9585 Å and the angles 90.00°, 90.00° and 120.00°. The asymmetric unit holds Be at (0.0000, 0.0000, 0.2448), Fe at (0.0000, 0.0000, 0.5000) and Br at (0.0000, 0.0000, 0.0000).



Here is a relaxed LiY6Zn5 crystal from Alexandria. Energies are from GGA-PBE.

The energy is -4.22 eV per atom. The density of states at the Fermi level is 28.083 states/eV/cell. The value obtained for the energy of formation is -295 meV/atom.

The structure belongs to space group Cmmm (No. 65); the cell edges are 5.072, 15.226 and 7.213 Å and the angles 90.00°, 90.00° and 90.00°. The asymmetric unit holds Li at (0.000, 0.000, 0.000), Y at (0.000, 0.169, 0.252), Y at (0.000, 0.500, 0.257), Zn at (0.000, 0.000, 0.500), Zn at (0.000, 0.334, 0.500) and Zn at (0.000, 0.339, 0.000).



Here is a relaxed TbHo2C crystal from Alexandria. Energies are from GGA-PBE.

The energy is -5.94 eV per atom. The density of states at the Fermi level is 10.733 states/eV/cell. The value obtained for the energy of formation is -184 meV/atom. Its distance to the lowest polymorph of the same formula is 0.00 eV/f.u.

The structure belongs to space group R3m (No. 160, hexagonal axes); the cell edges are 3.5649, 3.5649 and 27.1346 Å and the angles 90.00°, 90.00° and 120.00°. The asymmetric unit holds Tb at (0.0000, 0.0000, 0.0000), Ho at (0.0000, 0.0000, 0.2178), Ho at (0.0000, 0.0000, 0.4521) and C at (0.0000, 0.0000, 0.8353).



Here is a relaxed NiIr2W crystal from Alexandria. Energies are from GGA-PBE.

The energy is -9.11 eV per atom. The density of states at the Fermi level is 6.248 states/eV/cell. The value obtained for the energy of formation is 1 meV/atom. Its distance to the lowest polymorph of the same formula is 0.99 eV/f.u.

The structure belongs to space group P4mm (No. 99); the cell edges are 2.739, 2.739 and 7.492 Å and the angles 90.00°, 90.00° and 90.00°. The asymmetric unit holds Ni at (0.000, 0.000, 0.000), Ir at (0.000, 0.000, 0.501), Ir at (0.500, 0.500, 0.761) and W at (0.500, 0.500, 0.234).



Here is a relaxed CdAs2RuN crystal from Alexandria. Energies are from GGA-PBE.

The energy is -4.41 eV per atom. The density of states at the Fermi level is 3.091 states/eV/cell. As for the formation energy from raw total energies: 556.5 kJ/mol of formula units.

The structure belongs to space group P4/mmm (No. 123); the cell edges are 4.658, 4.658 and 5.348 Å and the angles 90.00°, 90.00° and 90.00°. The asymmetric unit holds Cd at (0.000, 0.000, 0.000), As at (0.000, 0.500, 0.500), Ru at (0.000, 0.000, 0.500) and N at (0.500, 0.500, 0.000).